Record 1
VASP calculation (PBE-GGA) on a relaxed structure of ZnCdTeO.

Space group = P4/nmm, No. 129
Uncorrected energy = -2.737 eV per atom

Cell: 4.2928 4.2928 8.4659 Å, 90.00 90.00 90.00°
Atoms (fractional coordinates):
Cd 0.7500 0.2500 0.0000
Cd 0.2500 0.7500 0.0000
O 0.7500 0.7500 0.4646
O 0.2500 0.2500 0.5354
Te 0.2500 0.2500 0.3099
Te 0.7500 0.7500 0.6901
Zn 0.7500 0.7500 0.2404
Zn 0.2500 0.2500 0.7596



Record 2
VASP calculation (PBE-GGA) on a relaxed structure of Zr3Ge.

Space group = Pmmn, No. 59
Uncorrected energy = -7.918 eV per atom

Cell: 5.6808 5.8835 4.9496 Å, 90.00 90.00 90.00°
Atoms (fractional coordinates):
Ge 0.9952 0.0000 0.0000
Ge 0.3382 0.5000 0.5000
Zr 0.5188 0.2509 0.0000
Zr 0.0453 0.5000 0.0000
Zr 0.5188 0.7491 0.0000
Zr 0.2880 0.0000 0.5000
Zr 0.8145 0.2491 0.5000
Zr 0.8145 0.7509 0.5000